# TlHg2Se PBE optimized geometry
data_TlHg2Se
_chemical_formula_sum 'Tl1 Hg2 Se1'
_cell_length_a 3.0765
_cell_length_b 5.5949
_cell_length_c 6.2946
_cell_angle_alpha 90.00
_cell_angle_beta 90.00
_cell_angle_gamma 90.00
_symmetry_space_group_name_H-M 'P 1'
_symmetry_Int_Tables_number 1
loop_
_symmetry_equiv_pos_as_xyz
'x,y,z'
loop_
_atom_site_label
_atom_site_fract_x
_atom_site_fract_y
_atom_site_fract_z
Tl1 0.0000 0.0000 0.0000
Hg1 0.5000 0.5000 0.2592
Hg2 0.5000 0.5000 0.7408
Se1 0.0000 0.0000 0.5000
# Calculated total energy, eV for the cell shown: -6.25
# E_form (uncorrected), eV per atom: 0.052
# Crystal system: orthorhombic

=====

# Tl8HgSe4 PBE optimized geometry
data_Tl8HgSe4
_chemical_formula_sum 'Tl8 Hg1 Se4'
_cell_length_a 8.8192
_cell_length_b 8.8192
_cell_length_c 8.8192
_cell_angle_alpha 60.91
_cell_angle_beta 60.91
_cell_angle_gamma 60.91
_symmetry_space_group_name_H-M 'P 1'
_symmetry_Int_Tables_number 1
loop_
_symmetry_equiv_pos_as_xyz
'x,y,z'
loop_
_atom_site_label
_atom_site_fract_x
_atom_site_fract_y
_atom_site_fract_z
Tl1 0.2464 0.2464 0.2464
Tl2 0.2493 0.7421 0.7421
Tl3 0.2579 0.2579 0.7507
Tl4 0.2579 0.7507 0.2579
Tl5 0.7421 0.2493 0.7421
Tl6 0.7421 0.7421 0.2493
Tl7 0.7507 0.2579 0.2579
Tl8 0.7536 0.7536 0.7536
Hg1 0.0000 0.0000 0.0000
Se1 0.0000 0.0000 0.5000
Se2 0.0000 0.5000 0.0000
Se3 0.5000 0.0000 0.0000
Se4 0.5000 0.5000 0.5000
# Calculated total energy, eV for the cell shown: -37.35
# E_form (uncorrected), eV per atom: -0.322
# Crystal system: trigonal

=====

# Tl2HgSe2 PBE optimized geometry
data_Tl2HgSe2
_chemical_formula_sum 'Tl8 Hg4 Se8'
_cell_length_a 9.2760
_cell_length_b 7.9348
_cell_length_c 8.6389
_cell_angle_alpha 90.00
_cell_angle_beta 90.05
_cell_angle_gamma 90.00
_symmetry_space_group_name_H-M 'P 1'
_symmetry_Int_Tables_number 1
loop_
_symmetry_equiv_pos_as_xyz
'x,y,z'
loop_
_atom_site_label
_atom_site_fract_x
_atom_site_fract_y
_atom_site_fract_z
Tl1 0.0816 0.2494 0.0004
Tl2 0.0816 0.2506 0.5004
Tl3 0.3292 0.7504 0.4993
Tl4 0.3292 0.7496 0.9993
Tl5 0.6708 0.2504 0.0007
Tl6 0.6708 0.2496 0.5007
Tl7 0.9184 0.7494 0.4996
Tl8 0.9184 0.7506 0.9996
Hg1 0.3951 0.0914 0.7502
Hg2 0.3951 0.4086 0.2502
Hg3 0.6049 0.5914 0.7498
Hg4 0.6049 0.9086 0.2498
Se1 0.1362 0.5609 0.2496
Se2 0.1362 0.9391 0.7496
Se3 0.3571 0.0760 0.2495
Se4 0.3571 0.4240 0.7495
Se5 0.6429 0.5760 0.2505
Se6 0.6429 0.9240 0.7505
Se7 0.8638 0.0609 0.2504
Se8 0.8638 0.4391 0.7504
# Calculated total energy, eV for the cell shown: -53.49
# E_form (uncorrected), eV per atom: -0.274
# Energy relative to the lowest polymorph listed for this composition, eV per atom: 0.020
# Crystal system: monoclinic

=====

# TlHg5Se4 PBE optimized geometry
data_TlHg5Se4
_chemical_formula_sum 'Tl2 Hg10 Se8'
_cell_length_a 9.0004
_cell_length_b 12.3660
_cell_length_c 5.5579
_cell_angle_alpha 90.00
_cell_angle_beta 90.00
_cell_angle_gamma 90.00
_symmetry_space_group_name_H-M 'P 1'
_symmetry_Int_Tables_number 1
loop_
_symmetry_equiv_pos_as_xyz
'x,y,z'
loop_
_atom_site_label
_atom_site_fract_x
_atom_site_fract_y
_atom_site_fract_z
Tl1 0.2500 0.2500 0.0477
Tl2 0.7500 0.7500 0.9523
Hg1 0.0481 0.5551 0.2963
Hg2 0.0481 0.9449 0.2963
Hg3 0.2500 0.7500 0.7163
Hg4 0.4519 0.5551 0.2963
Hg5 0.4519 0.9449 0.2963
Hg6 0.5481 0.0551 0.7037
Hg7 0.5481 0.4449 0.7037
Hg8 0.7500 0.2500 0.2837
Hg9 0.9519 0.0551 0.7037
Hg10 0.9519 0.4449 0.7037
Se1 0.0188 0.2500 0.4930
Se2 0.2500 0.5404 0.9436
Se3 0.2500 0.9596 0.9436
Se4 0.4812 0.2500 0.4930
Se5 0.5188 0.7500 0.5070
Se6 0.7500 0.0404 0.0564
Se7 0.7500 0.4596 0.0564
Se8 0.9812 0.7500 0.5070
# Calculated total energy, eV for the cell shown: -37.58
# E_form (uncorrected), eV per atom: -0.098
# Crystal system: orthorhombic

=====

# TlHg2Se2 PBE optimized geometry
data_TlHg2Se2
_chemical_formula_sum 'Tl2 Hg4 Se4'
_cell_length_a 6.4906
_cell_length_b 7.4349
_cell_length_c 7.5267
_cell_angle_alpha 66.16
_cell_angle_beta 82.12
_cell_angle_gamma 66.13
_symmetry_space_group_name_H-M 'P 1'
_symmetry_Int_Tables_number 1
loop_
_symmetry_equiv_pos_as_xyz
'x,y,z'
loop_
_atom_site_label
_atom_site_fract_x
_atom_site_fract_y
_atom_site_fract_z
Tl1 0.2309 0.1061 0.3670
Tl2 0.7691 0.8939 0.6330
Hg1 0.1900 0.4684 0.5952
Hg2 0.2364 0.7357 0.0284
Hg3 0.7636 0.2643 0.9716
Hg4 0.8100 0.5316 0.4048
Se1 0.2137 0.1378 0.9631
Se2 0.4571 0.6200 0.7091
Se3 0.5429 0.3800 0.2909
Se4 0.7863 0.8622 0.0369
# Calculated total energy, eV for the cell shown: -21.44
# E_form (uncorrected), eV per atom: -0.156
# Energy relative to the lowest polymorph listed for this composition, eV per atom: 0.000
# Crystal system: triclinic

=====

# Tl2HgSe PBE optimized geometry
data_Tl2HgSe
_chemical_formula_sum 'Tl2 Hg1 Se1'
_cell_length_a 5.5185
_cell_length_b 5.5185
_cell_length_c 5.5185
_cell_angle_alpha 60.00
_cell_angle_beta 60.00
_cell_angle_gamma 60.00
_symmetry_space_group_name_H-M 'P 1'
_symmetry_Int_Tables_number 1
loop_
_symmetry_equiv_pos_as_xyz
'x,y,z'
loop_
_atom_site_label
_atom_site_fract_x
_atom_site_fract_y
_atom_site_fract_z
Tl1 0.2500 0.2500 0.2500
Tl2 0.7500 0.7500 0.7500
Hg1 0.0000 0.0000 0.0000
Se1 0.5000 0.5000 0.5000
# Calculated total energy, eV for the cell shown: -9.39
# E_form (uncorrected), eV per atom: -0.217
# Energy relative to the lowest polymorph listed for this composition, eV per atom: 0.054
# Crystal system: cubic

=====

Q: Among the records above, which one has the highest E_form (uncorrected)?
A: TlHg2Se